[1]
A relaxed structure of Pr5Te4C, computed with GGA-PBE.

Lattice parameters (Å, degrees): 9.860 9.860 6.294 90.00 90.00 90.00
Space group I4 (No. 79)
Symmetry-distinct sites (fractional):
Pr: 0.000 0.000 0.000
Pr: 0.092 0.750 0.546
Te: 0.086 0.691 0.045
C: 0.000 0.000 0.581

Values from the calculation:
- Uncorrected formation energy: -1114 kJ/mol of formula units

[2]
A relaxed structure of ReTc2HPt, computed with GGA-PBE.

Lattice parameters (Å, degrees): 3.961 3.961 3.901 90.00 90.00 90.00
Space group P4/mmm (No. 123)
Symmetry-distinct sites (fractional):
Re: 0.000 0.000 0.000
Tc: 0.000 0.500 0.500
H: 0.500 0.500 0.500
Pt: 0.500 0.500 0.000

Values from the calculation:
- E above lowest polymorph: 39.4 meV/atom

[3]
A relaxed structure of Rb2Cd2In, computed with GGA-PBE.

Lattice parameters (Å, degrees): 10.774 10.774 3.566 90.00 90.00 90.00
Space group P4/mbm (No. 127)
Symmetry-distinct sites (fractional):
Rb: 0.192 0.308 0.000
Cd: 0.099 0.599 0.500
In: 0.000 0.000 0.000

Values from the calculation:
- Calculated formation energy: 156.4 meV/atom
- E above lowest polymorph: 223.9 meV/atom

[4]
A relaxed structure of Cs2KBr4, computed with GGA-PBE.

Lattice parameters (Å, degrees): 6.219 6.219 18.278 90.00 90.00 90.00
Space group I4/mmm (No. 139)
Symmetry-distinct sites (fractional):
Cs: 0.000 0.000 0.127
K: 0.000 0.000 0.500
Br: 0.000 0.000 0.322
Br: 0.000 0.500 0.000

Values from the calculation:
- Uncorrected formation energy: -913 kJ/mol of formula units

[5]
A relaxed structure of Ho2P3Pd5, computed with GGA-PBE.

Lattice parameters (Å, degrees): 4.161 23.490 6.893 90.00 90.00 90.00
Space group Cmc2_1 (No. 36)
Symmetry-distinct sites (fractional):
Ho: 0.000 0.024 0.000
Ho: 0.000 0.326 0.963
P: 0.000 0.109 0.295
P: 0.000 0.271 0.413
P: 0.000 0.455 0.212
Pd: 0.000 0.099 0.652
Pd: 0.000 0.198 0.118
Pd: 0.000 0.224 0.720
Pd: 0.000 0.372 0.428
Pd: 0.000 0.445 0.804

Values from the calculation:
- Calculated formation energy: -905.7 meV/atom

[6]
A relaxed structure of BaScPa2O8, computed with GGA-PBE.

Lattice parameters (Å, degrees): 5.085 7.495 5.093 90.00 92.56 90.00
Space group P2/m (No. 10)
Symmetry-distinct sites (fractional):
Ba: 0.000 0.000 0.000
Sc: 0.000 0.500 0.000
Pa: 0.500 0.267 0.500
O: 0.207 0.293 0.208
O: 0.307 0.500 0.693
O: 0.342 0.000 0.660

Values from the calculation:
- Uncorrected formation energy: -3674 kJ/mol of formula units

[7]
A relaxed structure of Li4CaAu2, computed with GGA-PBE.

Lattice parameters (Å, degrees): 7.895 7.895 4.352 90.00 90.00 90.00
Space group P4_2/mnm (No. 136)
Symmetry-distinct sites (fractional):
Li: 0.095 0.345 0.000
Ca: 0.000 0.000 0.500
Au: 0.217 0.783 0.000

Values from the calculation:
- Calculated formation energy: -486.1 meV/atom

[8]
A relaxed structure of TlBi2Pd2, computed with GGA-PBE.

Lattice parameters (Å, degrees): 8.772 4.651 6.102 90.00 95.32 90.00
Space group C2/m (No. 12)
Symmetry-distinct sites (fractional):
Tl: 0.000 0.000 0.000
Bi: 0.173 0.500 0.672
Pd: 0.142 0.500 0.191

Values from the calculation:
- Calculated formation energy: -153.9 meV/atom
- E above lowest polymorph: 38.1 meV/atom

[9]
A relaxed structure of PrSiNi2, computed with GGA-PBE.

Lattice parameters (Å, degrees): 4.0048 4.0048 14.9673 90.00 90.00 120.00
Space group R-3m (No. 166, hexagonal axes)
Symmetry-distinct sites (fractional):
Pr: 0.0000 0.0000 0.0000
Si: 0.0000 0.0000 0.5000
Ni: 0.0000 0.0000 0.1982

Values from the calculation:
- Uncorrected formation energy: -243 kJ/mol of formula units

[10]
A relaxed structure of Nd2MgTl, computed with GGA-PBE.

Lattice parameters (Å, degrees): 7.784 7.784 7.784 90.00 90.00 90.00
Space group Fm-3m (No. 225)
Symmetry-distinct sites (fractional):
Nd: 0.250 0.250 0.250
Mg: 0.000 0.000 0.000
Tl: 0.000 0.000 0.500

Values from the calculation:
- Calculated formation energy: -261.0 meV/atom
- E above lowest polymorph: 0.0 meV/atom

no.,N(E_F) (states/eV per cell)
1,13.02
2,3.31
3,6.99
4,31.52
5,20.92
6,6.38
7,3.49
8,4.78
9,9.88
10,17.95